This record from Alexandria describes crystalline FePtSe2Br at its relaxed geometry. The functional is PBE.

Cell and atoms, written as POSCAR:
```
FePtSe2Br
1.0
4.9737 0.0000 0.0000
0.0000 4.9737 0.0000
0.0000 0.0000 5.0967
Fe Pt Se Br
1 1 2 1
direct
0.0000 0.0000 0.0000 Fe
0.5000 0.5000 0.5000 Pt
0.0000 0.5000 0.5000 Se
0.5000 0.0000 0.5000 Se
0.5000 0.5000 0.0000 Br
```

Output
* space-group type: P4/mmm, No. 123
* formation energy without anion corrections: 0.727 eV/atom
* energy relative to the lowest polymorph listed for this composition: 0.0 kJ per mole of atoms

***

This record from Alexandria describes crystalline BaSr2LiTl at its relaxed geometry. The functional is PBE.

Cell and atoms, written as POSCAR:
```
BaSr2LiTl
1.0
6.1277 0.0000 0.0000
0.0000 6.1277 0.0000
0.0000 0.0000 5.3635
Ba Sr Li Tl
1 2 1 1
direct
0.0000 0.0000 0.0000 Ba
0.0000 0.5000 0.5000 Sr
0.5000 0.0000 0.5000 Sr
0.5000 0.5000 0.5000 Li
0.5000 0.5000 0.0000 Tl
```

Output
* space-group type: P4/mmm, No. 123
* E_form: -0.02 eV per atom
* energy relative to the lowest polymorph listed for this composition: 0.5 kJ per mole of atoms

***

This record from Alexandria describes crystalline BaSi2P at its relaxed geometry. The functional is PBE.

Cell and atoms, written as POSCAR:
```
BaSi2P
1.0
7.1965 0.0000 0.0000
0.0000 7.1965 0.0000
0.0000 0.0000 7.1965
Ba Si P
4 8 4
direct
0.0000 0.0000 0.0000 Ba
0.0000 0.5000 0.5000 Ba
0.5000 0.0000 0.5000 Ba
0.5000 0.5000 0.0000 Ba
0.0000 0.0000 0.5000 Si
0.0000 0.5000 0.0000 Si
0.2500 0.2500 0.7500 Si
0.2500 0.7500 0.2500 Si
0.5000 0.0000 0.0000 Si
0.5000 0.5000 0.5000 Si
0.7500 0.2500 0.2500 Si
0.7500 0.7500 0.7500 Si
0.2500 0.2500 0.2500 P
0.2500 0.7500 0.7500 P
0.7500 0.2500 0.7500 P
0.7500 0.7500 0.2500 P
```

Output
* space-group type: F-43m, No. 216
* formation energy without anion corrections: 0.434 eV/atom

***

This record from Alexandria describes crystalline Na2ZnP2Pd5 at its relaxed geometry. The functional is PBE.

Cell and atoms, written as POSCAR:
```
Na2ZnP2Pd5
1.0
10.4044 0.0000 0.0000
0.0000 10.4044 0.0000
0.0000 0.0000 3.0245
Na Zn P Pd
4 2 4 10
direct
0.1752 0.3248 0.0000 Na
0.3248 0.8248 0.0000 Na
0.6752 0.1752 0.0000 Na
0.8248 0.6752 0.0000 Na
0.0000 0.0000 0.0000 Zn
0.5000 0.5000 0.0000 Zn
0.1304 0.6304 0.0000 P
0.3696 0.1304 0.0000 P
0.6304 0.8696 0.0000 P
0.8696 0.3696 0.0000 P
0.0000 0.5000 0.5000 Pd
0.0614 0.7973 0.5000 Pd
0.2027 0.0614 0.5000 Pd
0.2973 0.5614 0.5000 Pd
0.4386 0.2973 0.5000 Pd
0.5000 0.0000 0.5000 Pd
0.5614 0.7027 0.5000 Pd
0.7027 0.4386 0.5000 Pd
0.7973 0.9386 0.5000 Pd
0.9386 0.2027 0.5000 Pd
```

Output
* space-group type: P4/mbm, No. 127
* E_form: -0.45 eV per atom

***

This record from Alexandria describes crystalline AlBrF3 at its relaxed geometry. The functional is PBE.

Cell and atoms, written as POSCAR:
```
AlBrF3
1.0
4.5664 0.0000 0.0000
0.0000 4.5664 0.0000
0.0000 0.0000 4.5664
Al Br F
1 1 3
direct
0.0000 0.0000 0.0000 Al
0.5000 0.5000 0.5000 Br
0.0000 0.5000 0.5000 F
0.5000 0.0000 0.5000 F
0.5000 0.5000 0.0000 F
```

Output
* space-group type: Pm-3m, No. 221
* formation energy without anion corrections: -0.548 eV/atom
* energy relative to the lowest polymorph listed for this composition: 143.7 kJ per mole of atoms

***

This record from Alexandria describes crystalline RbPaOsO6 at its relaxed geometry. The functional is PBE.

Cell and atoms, written as POSCAR:
```
RbPaOsO6
1.0
-3.6843 3.9833 5.4186
3.6843 -3.9833 5.4186
3.6843 3.9833 -5.4186
Rb Pa Os O
2 2 2 12
direct
0.3545 0.1045 0.2500 Rb
0.6455 0.8955 0.7500 Rb
0.0000 0.5000 0.5000 Pa
0.5000 0.5000 0.0000 Pa
0.0000 0.0000 0.5000 Os
0.0000 0.5000 0.0000 Os
0.0308 0.7808 0.2500 O
0.0474 0.4083 0.2046 O
0.0474 0.8428 0.6391 O
0.2962 0.1572 0.7046 O
0.2962 0.5917 0.1391 O
0.3282 0.5782 0.7500 O
0.6718 0.4218 0.2500 O
0.7038 0.4083 0.8609 O
0.7038 0.8428 0.2954 O
0.9526 0.1572 0.3609 O
0.9526 0.5917 0.7954 O
0.9692 0.2192 0.7500 O
```

Output
* space-group type: Imma, No. 74
* formation energy without anion corrections: -2.148 eV/atom